{"formula": "Y2HfCl", "functional": "PBEsol", "state": "optimized geometry", "cell": [[0.0000, 3.6909, 3.6909], [3.6909, 0.0000, 3.6909], [3.6909, 3.6909, 0.0000]], "species": ["Y", "Y", "Hf", "Cl"], "frac_coords": [[0.2500, 0.2500, 0.2500], [0.7500, 0.7500, 0.7500], [0.0000, 0.0000, 0.0000], [0.5000, 0.5000, 0.5000]], "space_group": "Fm-3m (225)"}

***

{"formula": "YHf3Cl", "functional": "PBEsol", "state": "optimized geometry", "cell": [[5.1847, 0.0000, 0.0000], [0.0000, 5.1847, 0.0000], [0.0000, 0.0000, 5.1847]], "species": ["Y", "Hf", "Hf", "Hf", "Cl"], "frac_coords": [[0.0000, 0.0000, 0.0000], [0.0000, 0.0000, 0.5000], [0.0000, 0.5000, 0.0000], [0.5000, 0.0000, 0.0000], [0.5000, 0.5000, 0.5000]], "space_group": "Pm-3m (221)", "relative_energy_ev_per_atom": 1.748}

***

{"formula": "HfZr2Cl", "functional": "PBEsol", "state": "optimized geometry", "cell": [[0.0000, 3.4272, 3.4272], [3.4272, 0.0000, 3.4272], [3.4272, 3.4272, 0.0000]], "species": ["Hf", "Zr", "Zr", "Cl"], "frac_coords": [[0.0000, 0.0000, 0.0000], [0.2500, 0.2500, 0.2500], [0.7500, 0.7500, 0.7500], [0.5000, 0.5000, 0.5000]], "space_group": "Fm-3m (225)"}

***

{"formula": "HfZr3Cl", "functional": "PBEsol", "state": "optimized geometry", "cell": [[4.7542, 0.0000, 0.0000], [0.0000, 4.7542, 0.0000], [0.0000, 0.0000, 4.7542]], "species": ["Hf", "Zr", "Zr", "Zr", "Cl"], "frac_coords": [[0.0000, 0.0000, 0.0000], [0.0000, 0.5000, 0.5000], [0.5000, 0.0000, 0.5000], [0.5000, 0.5000, 0.0000], [0.5000, 0.5000, 0.5000]], "space_group": "Pm-3m (221)"}

***

In order of appearance, formation energy from raw total energies = 0.23 1.65 0.37 -0.17 eV per atom.